Compound: AsN2F
Source: Alexandria via LeMat-Bulk
Functional: PBE
Structure: optimized geometry

Calculated values
As for the space-group type: Fm-3m (225). For the uncorrected formation energy, the calculation gives 1.5550 eV per atom.

```
AsN2F
1.0
0.0000 2.6324 2.6324
2.6324 0.0000 2.6324
2.6324 2.6324 0.0000
As N F
1 2 1
Direct
0.5000 0.5000 0.5000
0.2500 0.2500 0.2500
0.7500 0.7500 0.7500
0.0000 0.0000 0.0000
```